## VRhPb2O5 (PBE with a Hubbard U)

Data for a geometry-optimized VRhPb2O5 structure.

For the spin magnetization, the calculation gives 0.0 μB/cell. The total energy comes out at -6.323 eV per atom.

It has space group Cmc2_1 (No. 36), with a = 3.281 Å, b = 15.445 Å, c = 10.266 Å, α = 90.00°, β = 90.00° and γ = 90.00°. The inequivalent atoms are V at (0.000, 0.077, 0.000), Rh at (0.000, 0.301, 0.516), Pb at (0.000, 0.379, 0.174), Pb at (0.000, 0.388, 0.831), O at (0.000, 0.008, 0.859), O at (0.000, 0.152, 0.517), O at (0.000, 0.177, 0.140), O at (0.000, 0.182, 0.897) and O at (0.000, 0.476, 0.584).